# 1
A geometry-optimized GdThTcAu structure, computed with PBE-GGA.

ΔE_f = -0.310 eV per atom

Structure (CIF):
```
data_GdThTcAu
_space_group_name_H-M_alt 'F -4 3 m'
_space_group_IT_number 216
_space_group_name_Hall 'F -4 2 3'
_cell_length_a 7.1913
_cell_length_b 7.1913
_cell_length_c 7.1913
_cell_angle_alpha 90.00
_cell_angle_beta 90.00
_cell_angle_gamma 90.00
loop_
_atom_site_label
_atom_site_type_symbol
_atom_site_fract_x
_atom_site_fract_y
_atom_site_fract_z
Gd1 Gd 0.0000 0.0000 0.0000
Th1 Th 0.0000 0.0000 0.5000
Tc1 Tc 0.2500 0.2500 0.2500
Au1 Au 0.2500 0.2500 0.7500
```



# 2
A geometry-optimized Be15Ni2Pd2 structure, computed with PBE-GGA.

ΔE_f = -0.240 eV per atom

Structure (CIF):
```
data_Be15Ni2Pd2
_space_group_name_H-M_alt 'R -3 m'
_space_group_IT_number 166
_space_group_name_Hall '-R 3 2"'
_cell_length_a 7.3001
_cell_length_b 7.3001
_cell_length_c 10.9676
_cell_angle_alpha 90.00
_cell_angle_beta 90.00
_cell_angle_gamma 120.00
loop_
_atom_site_label
_atom_site_type_symbol
_atom_site_fract_x
_atom_site_fract_y
_atom_site_fract_z
Be1 Be 0.0000 0.3057 0.0000
Be2 Be 0.0000 0.5000 0.5000
Be3 Be 0.0046 0.5023 0.1594
Ni1 Ni 0.0000 0.0000 0.1022
Pd1 Pd 0.0000 0.0000 0.3511
```



# 3
A geometry-optimized K2RbNpCl6 structure, computed with PBE-GGA.

Energy relative to the elements, uncorrected = -1891 meV per atom

Structure (CIF):
```
data_K2RbNpCl6
_space_group_name_H-M_alt 'P 1 21/c 1'
_space_group_IT_number 14
_cell_length_a 7.6688
_cell_length_b 8.1667
_cell_length_c 13.5119
_cell_angle_alpha 90.00
_cell_angle_beta 124.40
_cell_angle_gamma 90.00
loop_
_space_group_symop_operation_xyz
'x,y,z'
'-x,-y,-z'
'-x,y+1/2,-z+1/2'
'x,-y+1/2,z+1/2'
loop_
_atom_site_label
_atom_site_type_symbol
_atom_site_fract_x
_atom_site_fract_y
_atom_site_fract_z
K1 K 0.2205 0.0747 0.2506
Rb1 Rb 0.5000 0.0000 0.0000
Np1 Np 0.0000 0.0000 0.5000
Cl1 Cl 0.0802 0.2208 0.9181
Cl2 Cl 0.2095 0.6798 0.9279
Cl3 Cl 0.3646 0.0689 0.7212
```



# 4
A geometry-optimized YMgCd2 structure, computed with PBE-GGA.

ΔE_f = -0.079 eV per atom

Structure (CIF):
```
data_YMgCd2
_space_group_name_H-M_alt 'R -3 m'
_space_group_IT_number 166
_space_group_name_Hall '-R 3 2"'
_cell_length_a 3.5089
_cell_length_b 3.5089
_cell_length_c 28.9122
_cell_angle_alpha 90.00
_cell_angle_beta 90.00
_cell_angle_gamma 120.00
loop_
_atom_site_label
_atom_site_type_symbol
_atom_site_fract_x
_atom_site_fract_y
_atom_site_fract_z
Y1 Y 0.0000 0.0000 0.0000
Mg1 Mg 0.0000 0.0000 0.5000
Cd1 Cd 0.0000 0.0000 0.2455
```



# 5
A geometry-optimized LiBiIr structure, computed with PBE-GGA.

ΔE_f = -0.126 eV per atom

Structure (CIF):
```
data_LiBiIr
_space_group_name_H-M_alt 'C m c m'
_space_group_IT_number 63
_space_group_name_Hall '-C 2c 2'
_cell_length_a 4.4039
_cell_length_b 9.1139
_cell_length_c 5.4512
_cell_angle_alpha 90.00
_cell_angle_beta 90.00
_cell_angle_gamma 90.00
loop_
_atom_site_label
_atom_site_type_symbol
_atom_site_fract_x
_atom_site_fract_y
_atom_site_fract_z
Li1 Li 0.0000 0.0000 0.0000
Bi1 Bi 0.0000 0.2943 0.2500
Ir1 Ir 0.0000 0.4041 0.7500
```



# 6
A geometry-optimized TbSmLuSc structure, computed with PBE-GGA.

ΔE_f = 0.096 eV per atom

Structure (CIF):
```
data_TbSmLuSc
_space_group_name_H-M_alt 'F -4 3 m'
_space_group_IT_number 216
_space_group_name_Hall 'F -4 2 3'
_cell_length_a 7.8246
_cell_length_b 7.8246
_cell_length_c 7.8246
_cell_angle_alpha 90.00
_cell_angle_beta 90.00
_cell_angle_gamma 90.00
loop_
_atom_site_label
_atom_site_type_symbol
_atom_site_fract_x
_atom_site_fract_y
_atom_site_fract_z
Tb1 Tb 0.0000 0.0000 0.0000
Sm1 Sm 0.0000 0.0000 0.5000
Lu1 Lu 0.2500 0.2500 0.7500
Sc1 Sc 0.2500 0.2500 0.2500
```



# 7
A geometry-optimized CuAs2Cl structure, computed with PBE-GGA.

Energy relative to the elements, uncorrected = 346 meV per atom
Offset from the most stable computed form = 518 meV per atom

Structure (CIF):
```
data_CuAs2Cl
_space_group_name_H-M_alt 'P m m m'
_space_group_IT_number 47
_cell_length_a 2.9703
_cell_length_b 4.5866
_cell_length_c 5.2457
_cell_angle_alpha 90.00
_cell_angle_beta 90.00
_cell_angle_gamma 90.00
loop_
_space_group_symop_operation_xyz
'x,y,z'
'-x,-y,-z'
'-x,-y,z'
'x,y,-z'
'x,-y,-z'
'-x,y,z'
'-x,y,-z'
'x,-y,z'
loop_
_atom_site_label
_atom_site_type_symbol
_atom_site_fract_x
_atom_site_fract_y
_atom_site_fract_z
Cu1 Cu 0.0000 0.0000 0.0000
As1 As 0.0000 0.5000 0.5000
As2 As 0.5000 0.5000 0.0000
Cl1 Cl 0.5000 0.0000 0.5000
```



# 8
A geometry-optimized La2PrTm structure, computed with PBE-GGA.

Offset from the most stable computed form = 13 meV per atom
ΔE_f = 0.024 eV per atom

Structure (CIF):
```
data_La2PrTm
_space_group_name_H-M_alt 'P 4/m m m'
_space_group_IT_number 123
_space_group_name_Hall '-P 4 2'
_cell_length_a 3.7116
_cell_length_b 3.7116
_cell_length_c 10.1779
_cell_angle_alpha 90.00
_cell_angle_beta 90.00
_cell_angle_gamma 90.00
loop_
_atom_site_label
_atom_site_type_symbol
_atom_site_fract_x
_atom_site_fract_y
_atom_site_fract_z
La1 La 0.0000 0.0000 0.2423
Pr1 Pr 0.5000 0.5000 0.5000
Tm1 Tm 0.5000 0.5000 0.0000
```



Number 1: M_tot 27.59 Bohr magnetons per cell, uncorrected energy -9.096 eV/atom. Number 2: M_tot 0.00 Bohr magnetons per cell, uncorrected energy -4.337 eV/atom. Number 3: M_tot 8.00 Bohr magnetons per cell, uncorrected energy -4.610 eV/atom. Number 4: M_tot 0.00 Bohr magnetons per cell, uncorrected energy -2.551 eV/atom. Number 5: M_tot 0.00 Bohr magnetons per cell, uncorrected energy -5.011 eV/atom. Number 6: M_tot 0.00 Bohr magnetons per cell, uncorrected energy -4.955 eV/atom. Number 7: M_tot 0.00 Bohr magnetons per cell, uncorrected energy -3.464 eV/atom. Number 8: M_tot 0.00 Bohr magnetons per cell, uncorrected energy -4.753 eV/atom.